[1]
This record from the Open Quantum Materials Database describes an optimized crystal structure of Lu2AlTc. The functional is PBE.

Summary:
As for the crystal system: cubic. Its total energy is -23.387 eV/cell. The value obtained for the theoretical density is 10.10 Mg/m³. The value obtained for the spin magnetization is 0.04 μB per atom.

Structure (POSCAR):
```
Lu2AlTc
1.0
0.000 3.392 3.392
3.392 0.000 3.392
3.392 3.392 0.000
Tc Al Lu
1 1 2
direct
0.250 0.250 0.250 Tc
0.500 0.500 0.500 Al
0.000 0.000 0.000 Lu
0.750 0.750 0.750 Lu
```

---

[2]
This record from the Open Quantum Materials Database describes an optimized crystal structure of LuAlTc. The functional is PBE.

Summary:
As for the crystal system: cubic. Its total energy is -18.289 eV/cell. The value obtained for the theoretical density is 7.94 Mg/m³. The value obtained for the spin magnetization is 0.02 μB per atom. The value obtained for the energy relative to the lowest polymorph listed for this composition is 0 meV per atom.

Structure (POSCAR):
```
LuAlTc
1.0
0.000 3.154 3.154
3.154 0.000 3.154
3.154 3.154 0.000
Lu Tc Al
1 1 1
direct
0.750 0.750 0.750 Lu
0.000 0.000 0.000 Tc
0.250 0.250 0.250 Al
```

---

[3]
This record from the Open Quantum Materials Database describes an optimized crystal structure of LuAlTc. The functional is PBE.

Summary:
As for the crystal system: cubic. Its total energy is -15.802 eV/cell. The value obtained for the theoretical density is 7.42 Mg/m³. The value obtained for the spin magnetization is 0.32 μB per atom. The value obtained for the energy relative to the lowest polymorph listed for this composition is 829 meV per atom.

Structure (POSCAR):
```
LuAlTc
1.0
0.000 3.226 3.226
3.226 0.000 3.226
3.226 3.226 0.000
Al Lu Tc
1 1 1
direct
0.250 0.250 0.250 Al
0.000 0.000 0.000 Lu
0.750 0.750 0.750 Tc
```

---

[4]
This record from the Open Quantum Materials Database describes an optimized crystal structure of LuAlTlTe3. The functional is PBE.

Summary:
As for the crystal system: orthorhombic. Its total energy is -48.023 eV/cell. The value obtained for the theoretical density is 6.83 Mg/m³. The value obtained for the spin magnetization is 0.00 μB per atom. The value obtained for the energy relative to the lowest polymorph listed for this composition is 0 meV per atom.

Structure (POSCAR):
```
LuAlTlTe3
1.0
2.211 -7.671 0.000
2.211 7.671 0.000
0.000 0.000 11.309
Te Lu Tl Al
6 2 2 2
direct
0.132 0.868 0.553 Te
0.425 0.575 0.750 Te
0.575 0.425 0.250 Te
0.132 0.868 0.947 Te
0.868 0.132 0.447 Te
0.868 0.132 0.053 Te
0.500 0.500 0.500 Lu
0.500 0.500 0.000 Lu
0.737 0.263 0.750 Tl
0.263 0.737 0.250 Tl
0.034 0.966 0.750 Al
0.966 0.034 0.250 Al
```